# 1
## Bi2SbF11 (PBE)

Data for crystalline Bi2SbF11 at its relaxed geometry.

extended XYZ file:
```
28
Lattice="7.523 0.000 3.921 3.560 7.469 2.347 0.306 -0.272 8.591" Properties=species:S:1:pos:R:3 pbc="T T T"
Bi 7.254 5.096 6.707
Bi 4.135 2.102 8.152
Bi 7.528 1.225 10.820
Bi 3.861 5.972 4.039
Sb 8.542 5.398 11.144
Sb 2.847 1.799 3.715
F 7.895 4.983 9.363
F 3.494 2.215 5.496
F 2.504 4.162 7.394
F 9.533 6.634 12.264
F 8.885 3.035 7.464
F 1.856 0.564 2.595
F 6.711 5.813 11.634
F 4.678 1.384 3.225
F 5.694 3.599 7.429
F 0.000 0.000 0.000
F 9.371 5.769 7.120
F 2.018 1.429 7.739
F 5.977 1.898 9.321
F 5.412 5.299 5.538
F 6.886 7.290 6.898
F 4.503 -0.093 7.961
F 3.322 2.232 10.228
F 1.241 1.094 5.043
F 8.067 4.965 4.631
F 10.148 6.103 9.816
F 3.807 3.778 3.628
F 7.582 3.420 11.231
```

Calculated values
For the formation energy without anion corrections, the calculation gives -2263.6 meV/atom. As for the symmetry: No. 72. As for the crystal system: orthorhombic.

# 2
## Pm2NdF11 (PBE)

Data for crystalline Pm2NdF11 at its relaxed geometry.

extended XYZ file:
```
28
Lattice="-8.204 -0.164 -2.798 -4.771 -7.538 1.001 -6.609 1.618 5.855" Properties=species:S:1:pos:R:3 pbc="T T T"
Pm -10.760 -4.807 0.658
Pm -8.824 -1.277 3.400
Pm -13.147 -0.259 2.585
Pm -6.437 -5.825 1.474
Nd -14.688 -4.563 3.044
Nd -4.896 -1.521 1.015
F -12.501 -4.556 2.106
F -7.084 -1.528 1.952
F -7.925 -3.052 4.508
F -16.594 -5.977 3.236
F -11.660 -3.032 -0.450
F -2.991 -0.107 0.823
F -13.530 -4.503 5.122
F -6.054 -1.581 -1.064
F -9.792 -3.042 2.029
F 0.000 0.000 0.000
F -12.439 -5.941 -0.570
F -7.145 -0.144 4.628
F -11.028 -1.316 2.651
F -8.556 -4.768 1.407
F -10.490 -6.892 1.518
F -9.094 0.808 2.541
F -10.000 -0.833 5.292
F -4.702 -0.558 3.172
F -9.585 -5.251 -1.234
F -14.883 -5.526 0.887
F -5.773 -3.722 0.933
F -13.811 -2.363 3.126
```

Calculated values
For the formation energy without anion corrections, the calculation gives -3406.8 meV/atom. As for the symmetry: No. 72. As for the crystal system: orthorhombic.

# 3
## LiUSbO2 (PBE)

Data for crystalline LiUSbO2 at its relaxed geometry.

extended XYZ file:
```
5
Lattice="-3.598 1.262 0.129 -1.042 -3.160 1.867 3.479 3.708 4.318" Properties=species:S:1:pos:R:3 pbc="T T T"
Li -1.577 0.821 4.408
U 0.400 0.951 1.833
Sb -2.297 -0.895 1.103
O -1.223 2.003 2.707
O 0.055 -0.209 3.576
```

Calculated values
For the formation energy without anion corrections, the calculation gives -1989.6 meV/atom. As for the symmetry: No. 107. As for the crystal system: tetragonal.

# 4
## AcCeHoSn (PBE)

Data for crystalline AcCeHoSn at its relaxed geometry.

extended XYZ file:
```
4
Lattice="5.571 0.000 0.000 2.786 4.825 0.000 2.786 1.608 4.549" Properties=species:S:1:pos:R:3 pbc="T T T"
Ac 8.357 4.825 3.412
Ho 0.000 0.000 0.000
Ce 5.571 3.217 2.274
Sn 2.786 1.608 1.137
```

Calculated values
As for the symmetry: No. 216. As for the crystal system: cubic. The formation energy is -0.50 eV per formula unit.

# 5
## TlCo3Os (PBE)

Data for crystalline TlCo3Os at its relaxed geometry.

extended XYZ file:
```
5
Lattice="-2.058 2.606 3.109 2.783 -1.629 3.208 2.951 3.354 -0.858" Properties=species:S:1:pos:R:3 pbc="T T T"
Co 1.392 -0.815 1.604
Co 1.476 1.677 -0.429
Co -1.029 1.303 1.554
Tl 1.838 2.165 2.730
Os 0.000 0.000 0.000
```

Calculated values
For the distance to the lowest polymorph of the same formula, the calculation gives 0 meV per atom. As for the symmetry: No. 221. As for the crystal system: cubic. The formation energy is 6.63 eV per formula unit.

# 6
## Sc2BRh (PBE)

Data for crystalline Sc2BRh at its relaxed geometry.

extended XYZ file:
```
4
Lattice="1.070 8.328 2.714 3.973 7.751 1.417 1.517 8.680 -0.466" Properties=species:S:1:pos:R:3 pbc="T T T"
Sc 5.954 22.470 3.327
Sc 0.606 2.289 0.339
B 0.000 0.000 0.000
Rh 3.280 12.379 1.833
```

Calculated values
As for the symmetry: No. 166. As for the crystal system: trigonal. The formation energy is 2.15 eV per formula unit.

| no. | raw total energy (eV per atom) |
| --- | --- |
| 1 | -4.5828 |
| 2 | -5.8964 |
| 3 | -7.4377 |
| 4 | -4.7798 |
| 5 | -5.6561 |
| 6 | -6.1354 |